Crystalline Hg2Sb2O5 at its relaxed geometry, computed with PBE.

a = 4.114 Å, b = 4.114 Å, c = 8.084 Å
α = 90.00°, β = 90.00°, γ = 90.00°
Sites, in units of the cell vectors:
Hg: 0.000 0.000 0.000
Hg: 0.000 0.000 0.500
Sb: 0.500 0.500 0.246
Sb: 0.500 0.500 0.754
O: 0.000 0.500 0.313
O: 0.000 0.500 0.687
O: 0.500 0.000 0.313
O: 0.500 0.000 0.687
O: 0.500 0.500 0.000

The space group is P4/mmm (123). Its total energy is -4.3953 eV per atom. The calculated volume comes out at 15.20 A^3/atom.